# 1
# Tm11Cd9Au4 | the Alexandria database | PBE | optimized geometry
# - DFT total energy (eV per formula unit) = -82.919
# - volume (Å³/atom) = 24.27
# - D(E_F) (states/eV per atom) = 0.627
# - total magnetization (μB per formula unit) = 0.00
# - ΔE_f (eV/atom) = -0.5161
data_Tm11Cd9Au4
_chemical_formula_sum 'Tm22 Cd18 Au8'
_space_group_name_H-M_alt 'C m m m'
_space_group_IT_number 65
_space_group_name_Hall '-C 2 2'
_cell_length_a 14.6122
_cell_length_b 21.8369
_cell_length_c 3.6516
_cell_angle_alpha 90.00
_cell_angle_beta 90.00
_cell_angle_gamma 90.00
loop_
_atom_site_label
_atom_site_type_symbol
_atom_site_fract_x
_atom_site_fract_y
_atom_site_fract_z
Tm1 Tm 0.0000 0.0000 0.0000
Tm2 Tm 0.0000 0.1627 0.0000
Tm3 Tm 0.0000 0.3639 0.0000
Tm4 Tm 0.2042 0.5000 0.0000
Tm5 Tm 0.2430 0.1712 0.0000
Cd1 Cd 0.0000 0.5000 0.5000
Cd2 Cd 0.1066 0.2585 0.5000
Cd3 Cd 0.1372 0.0737 0.5000
Au1 Au 0.1488 0.4008 0.5000

=====

# 2
# Tm7CdAu4 | the Alexandria database | PBE | optimized geometry
# - DFT total energy (eV per formula unit) = -50.478
# - volume (Å³/atom) = 25.92
# - D(E_F) (states/eV per atom) = 0.741
# - total magnetization (μB per formula unit) = 0.00
# - ΔE_f (eV/atom) = -0.4294
data_Tm7CdAu4
_chemical_formula_sum 'Tm14 Cd2 Au8'
_space_group_name_H-M_alt 'C 1 2/m 1'
_space_group_IT_number 12
_cell_length_a 13.9224
_cell_length_b 5.4227
_cell_length_c 10.2368
_cell_angle_alpha 90.00
_cell_angle_beta 126.39
_cell_angle_gamma 90.00
loop_
_space_group_symop_operation_xyz
'x,y,z'
'-x,-y,-z'
'-x,y,-z'
'x,-y,z'
'x+1/2,y+1/2,z'
'-x+1/2,-y+1/2,-z'
'-x+1/2,y+1/2,-z'
'x+1/2,-y+1/2,z'
loop_
_atom_site_label
_atom_site_type_symbol
_atom_site_fract_x
_atom_site_fract_y
_atom_site_fract_z
Tm1 Tm 0.0000 0.0000 0.0000
Tm2 Tm 0.0724 0.5000 0.3459
Tm3 Tm 0.1643 0.0000 0.6059
Tm4 Tm 0.2128 0.5000 0.8721
Cd1 Cd 0.0000 0.5000 0.0000
Au1 Au 0.0679 0.0000 0.7801
Au2 Au 0.2069 0.0000 0.3391

=====

# 3
# Tm2CdAu3 | the Alexandria database | PBE | optimized geometry
# - DFT total energy (eV per formula unit) = -24.175
# - volume (Å³/atom) = 21.38
# - D(E_F) (states/eV per atom) = 0.424
# - total magnetization (μB per formula unit) = 0.00
# - ΔE_f (eV/atom) = -0.7475
data_Tm2CdAu3
_chemical_formula_sum 'Tm4 Cd2 Au6'
_space_group_name_H-M_alt 'P -3 m 1'
_space_group_IT_number 164
_space_group_name_Hall '-P 3 2"'
_cell_length_a 4.9453
_cell_length_b 4.9453
_cell_length_c 12.1141
_cell_angle_alpha 90.00
_cell_angle_beta 90.00
_cell_angle_gamma 120.00
loop_
_atom_site_label
_atom_site_type_symbol
_atom_site_fract_x
_atom_site_fract_y
_atom_site_fract_z
Tm1 Tm 0.0000 0.0000 0.0000
Tm2 Tm 0.0000 0.0000 0.5000
Tm3 Tm 0.3333 0.6667 0.1811
Cd1 Cd 0.3333 0.6667 0.6693
Au1 Au 0.0000 0.0000 0.2456
Au2 Au 0.3333 0.6667 0.4238
Au3 Au 0.3333 0.6667 0.9307

=====

# 4
# Tm4Cd3Au | the Alexandria database | PBE | optimized geometry
# - DFT total energy (eV per formula unit) = -27.600
# - volume (Å³/atom) = 24.46
# - D(E_F) (states/eV per atom) = 0.528
# - total magnetization (μB per formula unit) = 0.00
# - ΔE_f (eV/atom) = -0.4615
data_Tm4Cd3Au
_chemical_formula_sum 'Tm4 Cd3 Au1'
_space_group_name_H-M_alt 'P 4/m m m'
_space_group_IT_number 123
_space_group_name_Hall '-P 4 2'
_cell_length_a 3.6534
_cell_length_b 3.6534
_cell_length_c 14.6587
_cell_angle_alpha 90.00
_cell_angle_beta 90.00
_cell_angle_gamma 90.00
loop_
_atom_site_label
_atom_site_type_symbol
_atom_site_fract_x
_atom_site_fract_y
_atom_site_fract_z
Tm1 Tm 0.0000 0.0000 0.1152
Tm2 Tm 0.0000 0.0000 0.3716
Cd1 Cd 0.5000 0.5000 0.2470
Cd2 Cd 0.5000 0.5000 0.5000
Au1 Au 0.5000 0.5000 0.0000

=====

# 5
# Tm5Cd2Au2 | the Alexandria database | PBE | optimized geometry
# - DFT total energy (eV per formula unit) = -34.953
# - volume (Å³/atom) = 25.75
# - D(E_F) (states/eV per atom) = 0.836
# - total magnetization (μB per formula unit) = 0.00
# - ΔE_f (eV/atom) = -0.4679
data_Tm5Cd2Au2
_chemical_formula_sum 'Tm20 Cd8 Au8'
_space_group_name_H-M_alt 'C m c e'
_space_group_IT_number 64
_space_group_name_Hall '-C 2ac 2'
_cell_length_a 17.0402
_cell_length_b 7.4067
_cell_length_c 7.3458
_cell_angle_alpha 90.00
_cell_angle_beta 90.00
_cell_angle_gamma 90.00
loop_
_atom_site_label
_atom_site_type_symbol
_atom_site_fract_x
_atom_site_fract_y
_atom_site_fract_z
Tm1 Tm 0.0000 0.0000 0.0000
Tm2 Tm 0.1300 0.1785 0.3264
Cd1 Cd 0.2226 0.0000 0.0000
Au1 Au 0.0000 0.1354 0.6342

=====

# 6
# TmCdAu | the Alexandria database | PBE | optimized geometry
# - DFT total energy (eV per formula unit) = -10.276
# - volume (Å³/atom) = 22.28
# - D(E_F) (states/eV per atom) = 0.639
# - total magnetization (μB per formula unit) = 0.00
# - ΔE_f (eV/atom) = -0.5373
data_TmCdAu
_chemical_formula_sum 'Tm1 Cd1 Au1'
_space_group_name_H-M_alt 'P -6 m 2'
_space_group_IT_number 187
_space_group_name_Hall 'P -6 2'
_cell_length_a 4.7836
_cell_length_b 4.7836
_cell_length_c 3.3731
_cell_angle_alpha 90.00
_cell_angle_beta 90.00
_cell_angle_gamma 120.00
loop_
_atom_site_label
_atom_site_type_symbol
_atom_site_fract_x
_atom_site_fract_y
_atom_site_fract_z
Tm1 Tm 0.0000 0.0000 0.0000
Cd1 Cd 0.6667 0.3333 0.5000
Au1 Au 0.3333 0.6667 0.5000

=====

# 7
# Tm4CdAu3 | the Alexandria database | PBE | optimized geometry
# - DFT total energy (eV per formula unit) = -34.551
# - volume (Å³/atom) = 23.05
# - D(E_F) (states/eV per atom) = 0.700
# - total magnetization (μB per formula unit) = 0.00
# - ΔE_f (eV/atom) = -0.7397
data_Tm4CdAu3
_chemical_formula_sum 'Tm4 Cd1 Au3'
_space_group_name_H-M_alt 'P m m m'
_space_group_IT_number 47
_cell_length_a 3.5944
_cell_length_b 5.0613
_cell_length_c 10.1356
_cell_angle_alpha 90.00
_cell_angle_beta 90.00
_cell_angle_gamma 90.00
loop_
_space_group_symop_operation_xyz
'x,y,z'
'-x,-y,-z'
'-x,-y,z'
'x,y,-z'
'x,-y,-z'
'-x,y,z'
'-x,y,-z'
'x,-y,z'
loop_
_atom_site_label
_atom_site_type_symbol
_atom_site_fract_x
_atom_site_fract_y
_atom_site_fract_z
Tm1 Tm 0.0000 0.0000 0.0000
Tm2 Tm 0.0000 0.0000 0.5000
Tm3 Tm 0.0000 0.5000 0.2398
Cd1 Cd 0.5000 0.5000 0.5000
Au1 Au 0.5000 0.0000 0.2599
Au2 Au 0.5000 0.5000 0.0000

=====

# 8
# Tm2CdAu4 | the Alexandria database | PBE | optimized geometry
# - DFT total energy (eV per formula unit) = -27.607
# - volume (Å³/atom) = 21.29
# - D(E_F) (states/eV per atom) = 0.392
# - total magnetization (μB per formula unit) = 0.00
# - ΔE_f (eV/atom) = -0.6627
data_Tm2CdAu4
_chemical_formula_sum 'Tm4 Cd2 Au8'
_space_group_name_H-M_alt 'C 1 2/m 1'
_space_group_IT_number 12
_cell_length_a 8.4447
_cell_length_b 5.1429
_cell_length_c 7.8796
_cell_angle_alpha 90.00
_cell_angle_beta 119.44
_cell_angle_gamma 90.00
loop_
_space_group_symop_operation_xyz
'x,y,z'
'-x,-y,-z'
'-x,y,-z'
'x,-y,z'
'x+1/2,y+1/2,z'
'-x+1/2,-y+1/2,-z'
'-x+1/2,y+1/2,-z'
'x+1/2,-y+1/2,z'
loop_
_atom_site_label
_atom_site_type_symbol
_atom_site_fract_x
_atom_site_fract_y
_atom_site_fract_z
Tm1 Tm 0.0560 0.0000 0.2644
Cd1 Cd 0.0000 0.5000 0.5000
Au1 Au 0.1836 0.5000 0.9052
Au2 Au 0.2279 0.5000 0.2959

=====

The lowest ΔE_f belongs to which entry? Tm2CdAu3